1.
First-principles (PBE) data for GaCo2 after structural relaxation, as listed in the Alexandria database.

abc: 2.834 2.834 4.850
angles: 106.99 106.99 90.00
Fractional coordinates of all 3 atoms:
Ga  0.000  0.000  0.000
Co  0.331  0.331  0.661
Co  0.669  0.669  0.339

Summary:
Its crystal system is tetragonal. Its formation energy is -0.106 eV/atom.

2.
First-principles (PBE) data for Th3ZrP4 after structural relaxation, as listed in the Alexandria database.

abc: 7.036 7.024 8.054
angles: 90.00 90.00 109.38
Fractional coordinates of all 16 atoms:
Th  0.750  0.500  0.628
Th  0.750  0.500  0.123
Th  0.750  0.000  0.372
Th  0.250  0.500  0.877
Th  0.250  0.000  0.628
Th  0.250  0.500  0.372
P  0.501  0.766  0.116
P  0.499  0.234  0.884
P  0.001  0.766  0.884
P  0.509  0.758  0.633
P  0.991  0.242  0.633
P  0.009  0.758  0.367
P  0.491  0.242  0.367
P  0.999  0.234  0.116
Zr  0.750  0.000  0.876
Zr  0.250  0.000  0.124

Summary:
Its crystal system is monoclinic. Its formation energy is -1.460 eV/atom.

3.
First-principles (PBE) data for SmPdO3 after structural relaxation, as listed in the Alexandria database.

abc: 4.256 7.069 10.879
angles: 118.93 90.00 90.00
Fractional coordinates of all 20 atoms:
Sm  0.256  0.687  0.663
Sm  0.744  0.313  0.337
Sm  0.244  0.687  0.163
Sm  0.756  0.313  0.837
O  0.039  0.376  0.179
O  0.427  0.014  0.141
O  0.752  0.644  0.561
O  0.539  0.624  0.321
O  0.961  0.624  0.821
O  0.248  0.356  0.439
O  0.748  0.644  0.061
O  0.073  0.014  0.641
O  0.927  0.986  0.359
O  0.252  0.356  0.939
O  0.573  0.986  0.859
O  0.461  0.376  0.679
Pd  0.305  0.172  0.031
Pd  0.195  0.172  0.531
Pd  0.805  0.828  0.469
Pd  0.695  0.828  0.969

Summary:
Its crystal system is monoclinic. The calculation puts the uncorrected formation energy at -1806 meV per atom.

4.
First-principles (PBE) data for PaSi3Ir2 after structural relaxation, as listed in the Alexandria database.

abc: 5.559 5.972 5.972
angles: 100.87 90.00 90.00
Fractional coordinates of all 12 atoms:
Ir  0.500  0.773  0.227
Ir  0.500  0.227  0.773
Ir  0.000  0.227  0.773
Ir  0.000  0.773  0.227
Si  0.750  0.142  0.434
Si  0.250  0.566  0.858
Si  0.250  0.858  0.566
Si  0.750  0.025  0.025
Si  0.750  0.434  0.142
Si  0.250  0.975  0.975
Pa  0.250  0.332  0.332
Pa  0.750  0.668  0.668

Summary:
Its crystal system is orthorhombic. The calculation puts the uncorrected formation energy at -554 meV per atom. The calculation puts the energy above the most stable polymorph in this dataset at 0.1162 eV/atom.

5.
First-principles (PBE) data for Sc2BAs after structural relaxation, as listed in the Alexandria database.

abc: 8.245 8.245 8.245
angles: 24.40 24.40 24.40
Fractional coordinates of all 4 atoms:
Sc  0.113  0.113  0.113
Sc  0.887  0.887  0.887
As  0.000  0.000  0.000
B  0.500  0.500  0.500

Summary:
Its crystal system is trigonal. The calculation puts the energy above the most stable polymorph in this dataset at 0.2115 eV/atom. Its formation energy is -0.110 eV/atom.

6.
First-principles (PBE) data for KMg2B2O6 after structural relaxation, as listed in the Alexandria database.

abc: 5.750 5.571 5.814
angles: 118.28 98.94 59.41
Fractional coordinates of all 11 atoms:
K  0.500  0.000  0.500
O  0.929  0.424  0.158
O  0.533  0.396  0.165
O  0.907  0.142  0.362
O  0.467  0.604  0.835
O  0.093  0.858  0.638
O  0.071  0.576  0.842
Mg  0.125  0.658  0.229
Mg  0.875  0.342  0.771
B  0.797  0.315  0.226
B  0.203  0.685  0.774

Summary:
Its crystal system is triclinic. The calculation puts the uncorrected formation energy at -2294 meV per atom.

7.
First-principles (PBE) data for LiLaTmRu after structural relaxation, as listed in the Alexandria database.

abc: 5.002 5.002 5.002
angles: 60.00 60.00 60.00
Fractional coordinates of all 4 atoms:
La  0.000  0.000  0.000
Li  0.250  0.250  0.250
Ru  0.750  0.750  0.750
Tm  0.500  0.500  0.500

Summary:
Its crystal system is cubic. Its formation energy is -0.207 eV/atom.

8.
First-principles (PBE) data for VTeMo3 after structural relaxation, as listed in the Alexandria database.

abc: 4.608 4.608 4.608
angles: 90.00 90.00 90.00
Fractional coordinates of all 5 atoms:
Mo  0.000  0.000  0.500
Mo  0.000  0.500  0.000
Mo  0.500  0.000  0.000
V  0.000  0.000  0.000
Te  0.500  0.500  0.500

Summary:
Its crystal system is cubic. The calculation puts the uncorrected formation energy at 1262 meV per atom. The calculation puts the energy above the most stable polymorph in this dataset at 0.0000 eV/atom.

9.
First-principles (PBE) data for SrIrAu2 after structural relaxation, as listed in the Alexandria database.

abc: 4.404 4.404 4.149
angles: 90.00 90.00 90.00
Fractional coordinates of all 4 atoms:
Sr  0.000  0.500  0.500
Au  0.500  0.500  0.000
Au  0.000  0.000  0.000
Ir  0.500  0.000  0.500

Summary:
Its crystal system is tetragonal. The calculation puts the energy above the most stable polymorph in this dataset at 0.1580 eV/atom. Its formation energy is -0.043 eV/atom.

10.
First-principles (PBE) data for SmScTiIn after structural relaxation, as listed in the Alexandria database.

abc: 5.166 5.166 5.166
angles: 60.00 60.00 60.00
Fractional coordinates of all 4 atoms:
Ti  0.250  0.250  0.250
Sc  0.500  0.500  0.500
In  0.750  0.750  0.750
Sm  0.000  0.000  0.000

Summary:
Its crystal system is cubic. Its formation energy is -0.082 eV/atom.

11.
First-principles (PBE) data for ErTeS after structural relaxation, as listed in the Alexandria database.

abc: 3.446 3.446 7.586
angles: 103.13 103.13 90.00
Fractional coordinates of all 3 atoms:
S  0.277  0.277  0.554
Er  0.696  0.696  0.391
Te  0.028  0.028  0.055

Summary:
Its crystal system is tetragonal. The calculation puts the uncorrected formation energy at -1246 meV per atom. The calculation puts the energy above the most stable polymorph in this dataset at 0.2503 eV/atom.

12.
First-principles (PBE) data for GaHg2As2 after structural relaxation, as listed in the Alexandria database.

abc: 7.425 7.425 4.291
angles: 90.00 90.00 90.00
Fractional coordinates of all 10 atoms:
Ga  0.000  0.000  0.000
Ga  0.500  0.500  0.000
Hg  0.863  0.363  0.500
Hg  0.363  0.137  0.500
Hg  0.637  0.863  0.500
Hg  0.137  0.637  0.500
As  0.196  0.304  0.000
As  0.804  0.696  0.000
As  0.696  0.196  0.000
As  0.304  0.804  0.000

Summary:
Its crystal system is tetragonal. The calculation puts the energy above the most stable polymorph in this dataset at 0.0474 eV/atom. Its formation energy is 0.253 eV/atom.

no.,calculated total energy (hartree per atom)
1,-0.215
2,-0.295
3,-0.249
4,-0.287
5,-0.224
6,-0.243
7,-0.197
8,-0.283
9,-0.159
10,-0.202
11,-0.191
12,-0.086